MoW3 | Alexandria | PBE | relaxed; energy = -48.704 eV/f.u.
1.0
5.395 0.000 0.000
0.000 9.024 0.000
0.000 0.000 5.378
Mo W
4 12
direct
0.003 0.250 0.238 Mo
0.497 0.750 0.738 Mo
0.503 0.250 0.262 Mo
0.997 0.750 0.762 Mo
0.000 0.250 0.739 W
0.000 0.750 0.261 W
0.250 0.001 0.087 W
0.250 0.499 0.087 W
0.250 0.501 0.587 W
0.250 0.999 0.587 W
0.500 0.250 0.761 W
0.500 0.750 0.239 W
0.750 0.001 0.413 W
0.750 0.499 0.413 W
0.750 0.501 0.913 W
0.750 0.999 0.913 W

***

MoW3 | Alexandria | PBE | relaxed; energy = -49.727 eV/f.u.
1.0
4.504 2.600 0.916
-4.504 2.600 0.916
0.000 -5.200 0.916
Mo W
1 3
direct
0.000 0.000 0.000 Mo
0.000 0.500 0.500 W
0.500 0.000 0.500 W
0.500 0.500 0.000 W

***

Mo2W | Alexandria | PBE | relaxed; energy = -32.743 eV/f.u.
1.0
-1.523 1.523 10.988
1.523 -1.523 10.988
1.523 1.523 -10.988
Mo W
4 2
direct
0.299 0.549 0.750 Mo
0.451 0.701 0.750 Mo
0.549 0.299 0.250 Mo
0.701 0.451 0.250 Mo
0.125 0.875 0.250 W
0.875 0.125 0.750 W

***

Mo2W | Alexandria | PBE | relaxed; energy = -33.492 eV/f.u.
1.0
0.000 3.666 3.666
3.666 0.000 3.666
3.666 3.666 0.000
Mo W
4 2
direct
0.000 0.000 0.000 Mo
0.000 0.000 0.500 Mo
0.000 0.500 0.000 Mo
0.500 0.000 0.000 Mo
0.375 0.375 0.375 W
0.625 0.625 0.625 W

***

Mo2W | Alexandria | PBE | relaxed; energy = -34.643 eV/f.u.
1.0
4.741 -2.243 0.000
4.741 2.243 0.000
-3.140 0.000 4.495
Mo W
4 2
direct
0.000 0.000 0.250 Mo
0.000 0.000 0.750 Mo
0.333 0.333 0.750 Mo
0.667 0.667 0.250 Mo
0.333 0.333 0.249 W
0.667 0.667 0.751 W

***

Mo3W7 | Alexandria | PBE | relaxed; energy = -118.210 eV/f.u.
1.0
8.550 0.000 0.000
-4.275 7.405 0.000
0.000 0.000 5.316
Mo W
6 14
direct
0.208 0.416 0.250 Mo
0.208 0.792 0.250 Mo
0.416 0.208 0.750 Mo
0.584 0.792 0.250 Mo
0.792 0.208 0.750 Mo
0.792 0.584 0.750 Mo
0.000 0.500 0.000 W
0.000 0.500 0.500 W
0.119 0.237 0.750 W
0.119 0.881 0.750 W
0.237 0.119 0.250 W
0.333 0.667 0.750 W
0.500 0.000 0.000 W
0.500 0.000 0.500 W
0.500 0.500 0.000 W
0.500 0.500 0.500 W
0.667 0.333 0.250 W
0.763 0.881 0.750 W
0.881 0.119 0.250 W
0.881 0.763 0.250 W

***

MoW | Alexandria | PBE | relaxed; energy = -22.593 eV/f.u.
1.0
-3.925 3.925 2.255
3.925 -3.925 2.255
3.925 3.925 -2.255
Mo W
4 4
direct
0.000 0.317 0.317 Mo
0.000 0.683 0.683 Mo
0.317 0.000 0.318 Mo
0.683 0.000 0.682 Mo
0.335 0.336 0.670 W
0.336 0.665 0.001 W
0.664 0.335 0.999 W
0.665 0.664 0.330 W

***

MoW | Alexandria | PBE | relaxed; energy = -23.808 eV/f.u.
1.0
4.482 0.000 0.000
0.000 4.482 0.000
0.000 0.000 6.369
Mo W
4 4
direct
0.250 0.250 0.250 Mo
0.250 0.750 0.000 Mo
0.750 0.250 0.000 Mo
0.750 0.750 0.750 Mo
0.250 0.250 0.751 W
0.250 0.750 0.500 W
0.750 0.250 0.500 W
0.750 0.750 0.249 W

***

Question: energy of number 2 (MoW3)?
Answer: -49.727 eV/f.u.

***

Question: Which value of energy does entry 4 give?
Answer: -33.492 eV/f.u.

***

Question: Number 5 is which compound?
Answer: Mo2W